Entry 1:
Material: LaHf2N
Method: DFT, PBE
State: optimized geometry

Lattice parameters (Å, degrees): 9.130 9.130 9.130 20.36 20.36 20.36
Fractional positions:
La: 0.000 0.000 0.000
Hf: 0.120 0.120 0.120
Hf: 0.880 0.880 0.880
N: 0.500 0.500 0.500

Output
SG   R-3m
E_form (uncorrected)   -0.66 eV per atom
N(E_F)   1.337 states/eV per cell



Entry 2:
Material: ZrInSi2
Method: DFT, PBE
State: optimized geometry

Lattice parameters (Å, degrees): 5.608 5.608 5.608 139.31 138.92 59.20
Fractional positions:
Zr: 0.000 0.000 0.000
In: 0.253 0.753 0.500
Si: 0.500 0.500 0.000
Si: 0.724 0.224 0.500

Output
SG   Imm2
E_form (uncorrected)   -0.13 eV per atom
N(E_F)   1.677 states/eV per cell